(1)
VASP calculation (GGA-PBE) on crystalline Pu2Th2GaSi4 at its relaxed geometry.

## Properties
Space-group type: No. 139
Total DFT energy (no corrections) in eV per atom: -7.699
Raw formation energy in meV per atom: -119
Density in Mg/m³: 9.267

```
9
Lattice="-3.4683 3.4683 4.2234 3.4683 -3.4683 4.2234 3.4683 3.4683 -4.2234" Properties=species:S:1:pos:R:3 pbc="T T T"
Pu 0.0000 0.0000 1.4639
Pu 0.0000 0.0000 6.9829
Th 3.4683 0.0000 2.1117
Th 0.0000 3.4683 2.1117
Ga 0.0000 0.0000 4.2234
Si 1.7620 1.7620 0.0000
Si 1.7063 -1.7063 4.2234
Si -1.7063 1.7063 4.2234
Si 1.7063 1.7063 4.2234
```

---

(2)
VASP calculation (GGA-PBE) on crystalline Tb3Ge2O at its relaxed geometry.

## Properties
Space-group type: No. 15
Total DFT energy (no corrections) in eV per atom: -6.031
Raw formation energy in meV per atom: -1351
Density in Mg/m³: 7.998

```
12
Lattice="3.5577 -6.0719 0.0000 3.5577 6.0719 0.0000 -2.0929 0.0000 6.1326" Properties=species:S:1:pos:R:3 pbc="T T T"
Tb 0.7324 3.0360 3.0663
Tb 1.4829 0.8998 0.0400
Tb 0.4365 -0.8998 3.1063
Tb 1.7788 -3.0360 0.0000
Tb 4.5860 0.8998 3.0263
Tb 3.5395 -0.8998 6.0926
Ge 3.0345 2.9401 1.5332
Ge 1.9880 1.0050 4.5995
Ge 3.0345 -1.0050 1.5332
Ge 1.9880 -2.9401 4.5995
O 1.9880 5.3698 4.5995
O 3.0345 -5.3698 1.5332
```

---

(3)
VASP calculation (GGA-PBE) on crystalline BaZrSe2 at its relaxed geometry.

## Properties
Space-group type: No. 44
Total DFT energy (no corrections) in eV per atom: -5.678
Raw formation energy in meV per atom: -1318
Energy above the lowest structure with this stoichiometry in eV per formula unit: 0.56
Density in Mg/m³: 5.938

```
4
Lattice="-1.8722 1.9331 7.4660 1.8722 -1.9331 7.4660 1.8722 1.9331 -7.4660" Properties=species:S:1:pos:R:3 pbc="T T T"
Ba 0.0000 0.0000 0.0000
Zr 0.0000 1.9331 3.6840
Se 1.8722 0.0000 4.7626
Se 0.0000 0.0000 9.1904
```

---

(4)
VASP calculation (GGA-PBE) on crystalline Dy5Al3 at its relaxed geometry.

## Properties
Space-group type: No. 140
Total DFT energy (no corrections) in eV per atom: -4.580
Energy relative to the elements in eV per formula unit: -2.4
Energy above the lowest structure with this stoichiometry in eV per formula unit: 0.00
Density in Mg/m³: 7.134

```
16
Lattice="-6.0226 6.0226 2.8669 6.0226 -6.0226 2.8669 6.0226 6.0226 -2.8669" Properties=species:S:1:pos:R:3 pbc="T T T"
Dy 9.4075 1.0122 0.0000
Dy 1.0122 2.6376 0.0000
Dy 6.0226 0.0000 1.4334
Dy 7.0348 3.3850 0.0000
Dy 3.3850 5.0103 0.0000
Dy 2.6376 1.0122 2.8669
Dy -1.0122 2.6376 2.8669
Dy 0.0000 6.0226 1.4334
Dy 5.0103 3.3850 2.8669
Dy -3.3850 5.0103 2.8669
Al 4.0825 1.9401 0.0000
Al 0.0000 0.0000 1.4334
Al 4.0825 -1.9401 2.8669
Al 1.9401 7.9626 0.0000
Al 0.0000 0.0000 4.3003
Al 1.9401 4.0825 2.8669
```

---

(5)
VASP calculation (GGA-PBE) on crystalline Re5As at its relaxed geometry.

## Properties
Space-group type: No. 189
Total DFT energy (no corrections) in eV per atom: -10.911
Energy relative to the elements in eV per formula unit: 1.4
Energy above the lowest structure with this stoichiometry in eV per formula unit: 0.47
Density in Mg/m³: 18.593

```
6
Lattice="4.7837 0.0000 0.0000 -2.3919 4.1428 0.0000 0.0000 0.0000 4.5333" Properties=species:S:1:pos:R:3 pbc="T T T"
Re -1.5941 2.7610 0.0000
Re 0.0000 2.7619 2.2667
Re 0.7978 1.3818 0.0000
Re 3.1881 0.0000 0.0000
Re 2.3919 1.3809 2.2667
As 0.0000 0.0000 2.2667
```

---

(6)
VASP calculation (GGA-PBE) on crystalline MgGeAs2Se at its relaxed geometry.

## Properties
Space-group type: No. 123
Total DFT energy (no corrections) in eV per atom: -3.349
Raw formation energy in meV per atom: 451
Energy above the lowest structure with this stoichiometry in eV per formula unit: 0.00
Density in Mg/m³: 4.357

```
5
Lattice="4.9644 0.0000 0.0000 0.0000 4.9644 0.0000 0.0000 0.0000 5.0379" Properties=species:S:1:pos:R:3 pbc="T T T"
Mg 0.0000 0.0000 0.0000
Ge 2.4822 2.4822 2.5190
As 0.0000 2.4822 2.5190
As 2.4822 0.0000 2.5190
Se 2.4822 2.4822 0.0000
```

---

(7)
VASP calculation (GGA-PBE) on crystalline Al3Mo8S16 at its relaxed geometry.

## Properties
Space-group type: No. 115
Total DFT energy (no corrections) in eV per atom: -6.837
Raw formation energy in meV per atom: -766
Density in Mg/m³: 4.581

```
27
Lattice="7.0375 0.0000 0.0000 0.0000 7.0375 0.0000 0.0000 0.0000 9.9658" Properties=species:S:1:pos:R:3 pbc="T T T"
Al 0.0000 0.0000 0.0000
Al 0.0000 3.5187 7.4520
Al 3.5187 0.0000 2.5138
Mo 0.0000 2.1073 3.5668
Mo 0.0000 4.9302 3.5668
Mo 1.4764 3.5187 1.5243
Mo 2.1073 0.0000 6.3990
Mo 3.5187 1.4764 8.4415
Mo 3.5187 5.5611 8.4415
Mo 4.9302 0.0000 6.3990
Mo 5.5611 3.5187 1.5243
S 0.0000 1.6232 6.1327
S 0.0000 1.7522 1.2833
S 0.0000 5.2852 1.2833
S 0.0000 5.4143 6.1327
S 1.6232 0.0000 3.8331
S 1.7522 0.0000 8.6825
S 1.8693 3.5187 3.8529
S 1.8885 3.5187 8.8064
S 3.5187 1.8693 6.1129
S 3.5187 1.8885 1.1594
S 3.5187 5.1490 1.1594
S 3.5187 5.1682 6.1129
S 5.1490 3.5187 8.8064
S 5.1682 3.5187 3.8529
S 5.2852 0.0000 8.6825
S 5.4143 0.0000 3.8331
```

---

(8)
VASP calculation (GGA-PBE) on crystalline CdTcIr2 at its relaxed geometry.

## Properties
Space-group type: No. 65
Total DFT energy (no corrections) in eV per atom: -7.016
Energy relative to the elements in eV per formula unit: 0.9
Density in Mg/m³: 15.804

```
4
Lattice="2.8295 -3.9576 0.0000 2.8295 3.9576 0.0000 0.0000 0.0000 2.7908" Properties=species:S:1:pos:R:3 pbc="T T T"
Cd 0.0000 0.0000 0.0000
Tc 2.8295 0.0000 0.0000
Ir 1.4147 1.9788 1.3954
Ir 1.4147 -1.9788 1.3954
```

---

(9)
VASP calculation (GGA-PBE) on crystalline LiSmGdPb at its relaxed geometry.

## Properties
Space-group type: No. 216
Total DFT energy (no corrections) in eV per atom: -6.406
Energy relative to the elements in eV per formula unit: -1.2
Density in Mg/m³: 7.886

```
4
Lattice="0.0000 3.8014 3.8014 3.8014 0.0000 3.8014 3.8014 3.8014 0.0000" Properties=species:S:1:pos:R:3 pbc="T T T"
Li 0.0000 0.0000 0.0000
Sm 1.9007 1.9007 1.9007
Gd 5.7021 5.7021 5.7021
Pb 3.8014 3.8014 3.8014
```

---

(10)
VASP calculation (GGA-PBE) on crystalline BiMoI2Cl at its relaxed geometry.

## Properties
Space-group type: No. 123
Total DFT energy (no corrections) in eV per atom: -2.718
Raw formation energy in meV per atom: 1214
Density in Mg/m³: 5.087

```
5
Lattice="6.0417 0.0000 0.0000 0.0000 6.0417 0.0000 0.0000 0.0000 5.3136" Properties=species:S:1:pos:R:3 pbc="T T T"
Bi 0.0000 0.0000 0.0000
Mo 3.0208 3.0208 0.0000
I 0.0000 3.0208 2.6568
I 3.0208 0.0000 2.6568
Cl 0.0000 0.0000 2.6568
```

---

(11)
VASP calculation (GGA-PBE) on crystalline CeH12Rh7 at its relaxed geometry.

## Properties
Space-group type: No. 148
Total DFT energy (no corrections) in eV per atom: -4.963
Density in Mg/m³: 8.439

```
20
Lattice="3.8320 2.2124 3.3752 -3.8320 2.2124 3.3752 0.0000 -4.4248 3.3752" Properties=species:S:1:pos:R:3 pbc="T T T"
Ce 0.0000 0.0000 0.0000
H -2.9380 0.2387 4.5367
H -1.6757 -2.4250 5.5889
H -0.9512 -1.1054 3.9834
H 1.2623 -2.6638 4.5367
H -0.4817 1.3764 3.9834
H -1.4329 0.2710 6.1423
H 1.4329 -0.2710 3.9834
H 0.4817 -1.3764 6.1423
H -1.2623 2.6638 5.5889
H 0.9512 1.1054 6.1423
H 1.6757 2.4250 4.5367
H 2.9380 -0.2387 5.5889
Rh -1.6858 0.3135 2.8755
Rh 0.5714 -1.6167 2.8755
Rh -1.1144 -1.3032 7.2501
Rh 0.0000 0.0000 5.0628
Rh 1.1144 1.3032 2.8755
Rh -0.5714 1.6167 7.2501
Rh 1.6858 -0.3135 7.2501
```

---

(12)
VASP calculation (GGA-PBE) on crystalline Ca3NdIn2 at its relaxed geometry.

## Properties
Space-group type: No. 26
Total DFT energy (no corrections) in eV per atom: -3.076
Energy relative to the elements in eV per formula unit: -2.2
Density in Mg/m³: 4.283

```
12
Lattice="5.3511 0.0000 0.0000 0.0000 9.9445 0.0000 0.0000 0.0000 7.2002" Properties=species:S:1:pos:R:3 pbc="T T T"
Ca 0.0000 0.5056 0.0000
Ca 0.0000 3.1107 2.5667
Ca 0.0000 6.8338 6.1668
Ca 0.0000 9.4389 3.6001
Ca 2.6755 1.7917 5.1116
Ca 2.6755 8.1528 1.5115
Nd 2.6755 4.5127 0.4654
Nd 2.6755 5.4318 4.0655
In 0.0000 3.6287 5.8622
In 0.0000 6.3158 2.2621
In 2.6755 1.4458 1.7948
In 2.6755 8.4987 5.3949
```

---

Respective DOS(E_F) values: 15.56, 5.45, 3.09, 16.31, 5.00, 5.73, 6.35, 4.71, 5.70, 4.76, 10.60, 10.64 states/eV per cell.